# 1
## GaWSe2N (PBE-GGA)

Data for a relaxed structure of GaWSe2N.

a b c (Å): 5.092 5.092 3.556
angles (deg): 90.00 90.00 90.00
Site moments in Bohr magnetons follow the coordinates.
Element x y z (fractional)
1 Ga 0.000 0.000 0.000  0.02
2 Se 0.000 0.500 0.000  -0.01
3 Se 0.500 0.000 0.000  -0.01
4 W 0.500 0.500 0.500  2.35
5 N 0.000 0.000 0.500  0.72

Output
size of the total moment	4.03	μB/f.u.
calculated total energy	-25.1	eV per cell
formation energy without anion corrections	594	kJ/mol of formula units

***

# 2
## YGaSeN2 (PBE-GGA)

Data for a relaxed structure of YGaSeN2.

a b c (Å): 4.581 4.581 5.699
angles (deg): 90.00 90.00 90.00
Site moments in Bohr magnetons follow the coordinates.
Element x y z (fractional)
1 Y 0.000 0.000 0.000  0.01
2 Ga 0.500 0.500 0.500  0.03
3 Se 0.000 0.000 0.500  0.27
4 N 0.000 0.500 0.000  1.13
5 N 0.500 0.000 0.000  1.13

Output
size of the total moment	3.84	μB/f.u.
calculated total energy	-26.6	eV per cell
formation energy without anion corrections	294	kJ/mol of formula units

***

# 3
## YGaSeN2 (PBE-GGA)

Data for a relaxed structure of YGaSeN2.

a b c (Å): 3.985 3.985 5.139
angles (deg): 90.00 90.00 90.00
Site moments in Bohr magnetons follow the coordinates.
Element x y z (fractional)
1 Y 0.500 0.500 0.500  -0.04
2 Ga 0.000 0.000 0.000  0.00
3 Se 0.000 0.000 0.500  0.09
4 N 0.000 0.500 0.000  0.49
5 N 0.500 0.000 0.000  0.49

Output
size of the total moment	1.43	μB/f.u.
calculated total energy	-28.6	eV per cell
formation energy without anion corrections	95	kJ/mol of formula units

***

# 4
## ZnGaSe2N (PBE-GGA)

Data for a relaxed structure of ZnGaSe2N.

a b c (Å): 5.169 5.169 3.678
angles (deg): 90.00 90.00 90.00
Element x y z (fractional)
1 Zn 0.000 0.000 0.000
2 Ga 0.500 0.500 0.500
3 Se 0.000 0.500 0.000
4 Se 0.500 0.000 0.000
5 N 0.000 0.000 0.500

Output
size of the total moment	0.00	μB/f.u.
calculated total energy	-15.7	eV per cell
formation energy without anion corrections	372	kJ/mol of formula units

***

# 5
## ZnGaSe2N (PBE-GGA)

Data for a relaxed structure of ZnGaSe2N.

a b c (Å): 5.280 5.280 3.556
angles (deg): 90.00 90.00 90.00
Element x y z (fractional)
1 Zn 0.500 0.500 0.500
2 Ga 0.000 0.000 0.000
3 Se 0.000 0.500 0.000
4 Se 0.500 0.000 0.000
5 N 0.000 0.000 0.500

Output
size of the total moment	0.00	μB/f.u.
calculated total energy	-16.2	eV per cell
formation energy without anion corrections	326	kJ/mol of formula units

***

# 6
## ZrGaSeN2 (PBE-GGA)

Data for a relaxed structure of ZrGaSeN2.

a b c (Å): 3.891 3.891 4.990
angles (deg): 90.00 90.00 90.00
Site moments in Bohr magnetons follow the coordinates.
Element x y z (fractional)
1 Ga 0.000 0.000 0.000  0.02
2 Se 0.000 0.000 0.500  0.02
3 Zr 0.500 0.500 0.500  -0.10
4 N 0.000 0.500 0.000  0.24
5 N 0.500 0.000 0.000  0.24

Output
size of the total moment	0.55	μB/f.u.
calculated total energy	-28.9	eV per cell
formation energy without anion corrections	274	kJ/mol of formula units

***

# 7
## ZrGaSeN2 (PBE-GGA)

Data for a relaxed structure of ZrGaSeN2.

a b c (Å): 4.132 4.132 5.718
angles (deg): 90.00 90.00 90.00
Site moments in Bohr magnetons follow the coordinates.
Element x y z (fractional)
1 Ga 0.500 0.500 0.500  0.00
2 Se 0.000 0.000 0.500  0.00
3 Zr 0.000 0.000 0.000  -0.04
4 N 0.000 0.500 0.000  0.18
5 N 0.500 0.000 0.000  0.18

Output
size of the total moment	0.48	μB/f.u.
calculated total energy	-30.5	eV per cell
formation energy without anion corrections	121	kJ/mol of formula units

***

# 8
## GaSiN3 (PBE-GGA)

Data for a relaxed structure of GaSiN3.

a b c (Å): 3.901 3.901 3.901
angles (deg): 90.00 90.00 90.00
Site moments in Bohr magnetons follow the coordinates.
Element x y z (fractional)
1 Si 0.500 0.500 0.500  0.03
2 Ga 0.000 0.000 0.000  0.09
3 N 0.000 0.500 0.000  1.11
4 N 0.000 0.000 0.500  0.83
5 N 0.500 0.000 0.000  0.93

Output
size of the total moment	3.99	μB/f.u.
calculated total energy	-24.3	eV per cell
formation energy without anion corrections	883	kJ/mol of formula units

***

# 9
## GaSiN3 (PBE-GGA)

Data for a relaxed structure of GaSiN3.

a b c (Å): 3.602 3.602 3.602
angles (deg): 90.00 90.00 90.00
Element x y z (fractional)
1 Si 0.000 0.000 0.000
2 Ga 0.500 0.500 0.500
3 N 0.000 0.500 0.000
4 N 0.000 0.000 0.500
5 N 0.500 0.000 0.000

Output
size of the total moment	0.00	μB/f.u.
calculated total energy	-29.7	eV per cell
formation energy without anion corrections	360	kJ/mol of formula units

***

# 10
## Ga2SiN (PBE-GGA)

Data for a relaxed structure of Ga2SiN.

a b c (Å): 4.329 4.329 4.329
angles (deg): 60.00 60.00 60.00
Element x y z (fractional)
1 Si 0.500 0.500 0.500
2 Ga 0.250 0.250 0.250
3 Ga 0.750 0.750 0.750
4 N 0.000 0.000 0.000

Output
size of the total moment	0.00	μB/f.u.
calculated total energy	-15.7	eV per cell
formation energy without anion corrections	394	kJ/mol of formula units

***

# 11
## GaSi2N3 (PBE-GGA)

Data for a relaxed structure of GaSi2N3.

a b c (Å): 5.550 5.550 4.919
angles (deg): 90.00 90.00 117.01
Element x y z (fractional)
1 Ga 0.634 0.634 0.055
2 Ga 0.366 0.366 0.555
3 Si 0.961 0.313 0.982
4 Si 0.313 0.961 0.982
5 Si 0.039 0.687 0.482
6 Si 0.687 0.039 0.482
7 N 0.890 0.360 0.323
8 N 0.360 0.890 0.323
9 N 0.110 0.640 0.823
10 N 0.640 0.110 0.823
11 N 0.843 0.843 0.423
12 N 0.157 0.157 0.923

Output
size of the total moment	0.00	μB/f.u.
calculated total energy	-85.1	eV per cell
formation energy without anion corrections	-358	kJ/mol of formula units

***

# 12
## GaSi3N (PBE-GGA)

Data for a relaxed structure of GaSi3N.

a b c (Å): 4.675 4.675 4.675
angles (deg): 90.00 90.00 90.00
Element x y z (fractional)
1 Si 0.000 0.500 0.000
2 Si 0.000 0.000 0.500
3 Si 0.500 0.000 0.000
4 Ga 0.000 0.000 0.000
5 N 0.500 0.500 0.500

Output
size of the total moment	0.00	μB/f.u.
calculated total energy	-17.7	eV per cell
formation energy without anion corrections	954	kJ/mol of formula units

***

# 13
## GaSi3N (PBE-GGA)

Data for a relaxed structure of GaSi3N.

a b c (Å): 4.110 4.110 4.110
angles (deg): 90.00 90.00 90.00
Element x y z (fractional)
1 Si 0.000 0.500 0.000
2 Si 0.000 0.000 0.500
3 Si 0.500 0.000 0.000
4 Ga 0.500 0.500 0.500
5 N 0.000 0.000 0.000

Output
size of the total moment	0.00	μB/f.u.
calculated total energy	-24.4	eV per cell
formation energy without anion corrections	313	kJ/mol of formula units

***

# 14
## Ga2SiN (PBE-GGA)

Data for a relaxed structure of Ga2SiN.

a b c (Å): 5.213 5.213 6.120
angles (deg): 64.79 64.79 90.00
Element x y z (fractional)
1 Si 0.000 0.000 0.000
2 Si 0.750 0.250 0.500
3 Ga 0.554 0.125 0.250
4 Ga 0.196 0.625 0.250
5 Ga 0.375 0.446 0.750
6 Ga 0.875 0.804 0.750
7 N 0.500 0.500 0.000
8 N 0.250 0.750 0.500

Output
size of the total moment	0.00	μB/f.u.
calculated total energy	-38.6	eV per cell
formation energy without anion corrections	48	kJ/mol of formula units